# 1
Compound: Fe2Ni2H5
Source: the Alexandria database
Functional: PBE
Structure: relaxed

Values from the calculation:
Volume   6.4 Å³/atom
Total energy   -4.917 eV/atom
Magnetic moment   19.55 Bohr magnetons per cell
Calculated density   6.76 g/cm³

Cell and atoms, written as CIF:
```
data_Fe2Ni2H5
_cell_length_a 8.776
_cell_length_b 5.197
_cell_length_c 5.041
_cell_angle_alpha 90.00
_cell_angle_beta 90.00
_cell_angle_gamma 90.00
_space_group_name_H-M_alt 'C m c e'
_space_group_IT_number 64
_space_group_name_Hall '-C 2ac 2'
loop_
_atom_site_label
_atom_site_fract_x
_atom_site_fract_y
_atom_site_fract_z
Fe1 0.216 0.000 0.000
Ni1 0.000 0.184 0.329
H1 0.000 0.000 0.000
H2 0.133 0.191 0.607
```

=====

# 2
Compound: RbHoAg2Br6
Source: the Alexandria database
Functional: PBE
Structure: relaxed

Values from the calculation:
Volume   33.1 Å³/atom
Total energy   -3.342 eV/atom
Formation energy from raw total energies   -1.213 eV/atom
Magnetic moment   0.00 Bohr magnetons per cell
Calculated density   4.74 g/cm³

Cell and atoms, written as CIF:
```
data_RbHoAg2Br6
_cell_length_a 7.4680
_cell_length_b 7.4680
_cell_length_c 20.5736
_cell_angle_alpha 90.00
_cell_angle_beta 90.00
_cell_angle_gamma 120.00
_space_group_name_H-M_alt 'R 3'
_space_group_IT_number 146
_space_group_name_Hall 'R 3'
loop_
_atom_site_label
_atom_site_fract_x
_atom_site_fract_y
_atom_site_fract_z
Rb1 0.0000 0.0000 0.0000
Ho1 0.0000 0.0000 0.5260
Ag1 0.0000 0.0000 0.1942
Ag2 0.0000 0.0000 0.7150
Br1 0.0052 0.3452 0.1215
Br2 0.0953 0.7504 0.2795
```

=====

# 3
Compound: Li3Tl3CrCl8
Source: the Alexandria database
Functional: PBE
Structure: relaxed

Values from the calculation:
Volume   25.2 Å³/atom
Total energy   -3.752 eV/atom
Formation energy from raw total energies   -1.269 eV/atom
Magnetic moment   7.97 Bohr magnetons per cell
Calculated density   4.25 g/cm³

Cell and atoms, written as CIF:
```
data_Li3Tl3CrCl8
_cell_length_a 13.289
_cell_length_b 7.664
_cell_length_c 8.653
_cell_angle_alpha 90.00
_cell_angle_beta 120.78
_cell_angle_gamma 90.00
_space_group_name_H-M_alt 'C 1 2/m 1'
_space_group_IT_number 12
loop_
_space_group_symop_operation_xyz
'x,y,z'
'-x,-y,-z'
'-x,y,-z'
'x,-y,z'
'x+1/2,y+1/2,z'
'-x+1/2,-y+1/2,-z'
'-x+1/2,y+1/2,-z'
'x+1/2,-y+1/2,z'
loop_
_atom_site_label
_atom_site_fract_x
_atom_site_fract_y
_atom_site_fract_z
Li1 0.000 0.000 0.000
Li2 0.250 0.250 0.000
Tl1 0.000 0.500 0.500
Tl2 0.250 0.250 0.500
Cr1 0.000 0.500 0.000
Cl1 0.018 0.260 0.815
Cl2 0.222 0.500 0.185
Cl3 0.229 0.000 0.187
```

=====

# 4
Compound: PmTlPd
Source: the Alexandria database
Functional: PBE
Structure: relaxed

Values from the calculation:
Energy relative to the elements   -471.6 meV per atom
Volume   24.1 Å³/atom
Total energy   -4.575 eV/atom
Magnetic moment   0.00 Bohr magnetons per cell
Calculated density   10.47 g/cm³

Cell and atoms, written as CIF:
```
data_PmTlPd
_cell_length_a 3.848
_cell_length_b 3.848
_cell_length_c 9.768
_cell_angle_alpha 90.00
_cell_angle_beta 90.00
_cell_angle_gamma 90.00
_space_group_name_H-M_alt 'I 4 m m'
_space_group_IT_number 107
_space_group_name_Hall 'I 4 -2'
loop_
_atom_site_label
_atom_site_fract_x
_atom_site_fract_y
_atom_site_fract_z
Pm1 0.000 0.000 0.000
Tl1 0.000 0.000 0.315
Pd1 0.000 0.000 0.651
```

=====

# 5
Compound: NdHgPdAu
Source: the Alexandria database
Functional: PBE
Structure: relaxed

Values from the calculation:
Energy relative to the elements   -576.4 meV per atom
Volume   21.9 Å³/atom
Total energy   -3.961 eV/atom
Magnetic moment   0.00 Bohr magnetons per cell
Calculated density   12.29 g/cm³

Cell and atoms, written as CIF:
```
data_NdHgPdAu
_cell_length_a 7.049
_cell_length_b 7.049
_cell_length_c 7.049
_cell_angle_alpha 90.00
_cell_angle_beta 90.00
_cell_angle_gamma 90.00
_space_group_name_H-M_alt 'F -4 3 m'
_space_group_IT_number 216
_space_group_name_Hall 'F -4 2 3'
loop_
_atom_site_label
_atom_site_fract_x
_atom_site_fract_y
_atom_site_fract_z
Nd1 0.000 0.000 0.000
Hg1 0.000 0.000 0.500
Pd1 0.250 0.250 0.750
Au1 0.250 0.250 0.250
```

=====

# 6
Compound: BaZnNiH6
Source: the Alexandria database
Functional: PBE
Structure: relaxed

Values from the calculation:
Volume   10.4 Å³/atom
Total energy   -3.440 eV/atom
Magnetic moment   0.00 Bohr magnetons per cell
Calculated density   4.73 g/cm³

Cell and atoms, written as CIF:
```
data_BaZnNiH6
_cell_length_a 4.6084
_cell_length_b 4.6084
_cell_length_c 5.1026
_cell_angle_alpha 90.00
_cell_angle_beta 90.00
_cell_angle_gamma 120.00
_space_group_name_H-M_alt 'P -6 m 2'
_space_group_IT_number 187
_space_group_name_Hall 'P -6 2'
loop_
_atom_site_label
_atom_site_fract_x
_atom_site_fract_y
_atom_site_fract_z
Ba1 0.0000 0.0000 0.0000
Zn1 0.3333 0.6667 0.5000
Ni1 0.6667 0.3333 0.5000
H1 0.5137 0.0273 0.2860
```